[1]
Density functional theory data (GGA-PBE) for an optimized crystal structure of HoCuAg2F6.

Output
The crystal system is triclinic. The total magnetization is 0.00 μB per cell. The calculated volume is 16.356 Å³/atom. As for the space-group type: P1 (1). For the formation energy (no corrections), the calculation gives -2221.4 meV per atom.

a = 5.5592 Å, b = 5.7055 Å, c = 6.0972 Å
α = 104.77°, β = 111.37°, γ = 102.49°
Closest atoms and distances in Å follow each position.
Fractional positions:
Ho (0.0000, 0.0000, 0.0000)  6 F 2.15-2.25
Cu (0.7174, 0.3908, 0.4438)  2 F 1.87-1.89
Ag (0.3469, 0.6582, 0.3886)  4 F 2.34-2.56
Ag (0.4678, 0.3848, 0.7397)  4 F 2.33-2.56
F (0.0116, 0.2456, 0.3468)  1 Cu 2.18, 1 Ho 2.19
F (0.2073, 0.3448, 0.9610)  1 Ho 2.17, 1 Ag 2.33
F (0.4403, 0.0637, 0.2532)  1 Cu 1.89
F (0.5992, 0.0026, 0.7792)  1 Ho 2.15, 1 Ag 2.34
F (0.8907, 0.6747, 0.1052)  1 Ho 2.15
F (0.9707, 0.7224, 0.6534)  1 Cu 1.87

[2]
Density functional theory data (GGA-PBE) for an optimized crystal structure of HoCu2AgF8.

Output
The crystal system is tetragonal. The total magnetization is 2.04 μB per cell. The calculated volume is 13.538 Å³/atom. As for the space-group type: I-4 (82). For the formation energy (no corrections), the calculation gives -2254.2 meV per atom. For the density of states at the Fermi level, the calculation gives 0.267 states/eV per atom.

a = 6.5938 Å, b = 6.5938 Å, c = 6.5938 Å
α = 130.39°, β = 130.39°, γ = 72.78°
Closest atoms and distances in Å follow each position.
Fractional positions:
Ho (0.0000, 0.0000, 0.0000)  8 F 2.23-2.34
Cu (0.5000, 0.5000, 0.0000)  4 F 1.92
Cu (0.7500, 0.2500, 0.5000)  4 F 1.94
Ag (0.2500, 0.7500, 0.5000)  8 F 2.44-2.60
F (0.2660, 0.7240, 0.1000)  1 Cu 1.92
F (0.2760, 0.3760, 0.5420)  1 Cu 1.92
F (0.3839, 0.0512, 0.0723)  1 Cu 1.94
F (0.6240, 0.1660, 0.9000)  1 Cu 1.92
F (0.6884, 0.6161, 0.6672)  1 Cu 1.94
F (0.8340, 0.7340, 0.4580)  1 Cu 1.92
F (0.9488, 0.0211, 0.3328)  1 Cu 1.94
F (0.9789, 0.3116, 0.9277)  1 Cu 1.94

[3]
Density functional theory data (GGA-PBE) for an optimized crystal structure of CuAgIF2.

Output
The crystal system is tetragonal. The total magnetization is 0.00 μB per cell. The calculated volume is 19.912 Å³/atom. As for the space-group type: P4/mmm (123). For the formation energy (no corrections), the calculation gives -862.4 meV per atom. For the density of states at the Fermi level, the calculation gives 0.627 states/eV per atom.

a = 3.9336 Å, b = 3.9336 Å, c = 6.4343 Å
α = 90.00°, β = 90.00°, γ = 90.00°
Closest atoms and distances in Å follow each position.
Fractional positions:
Cu (0.0000, 0.0000, 0.0000)  4 F 1.97
Ag (0.0000, 0.0000, 0.5000)  4 I 2.78
I (0.5000, 0.5000, 0.5000)  4 Ag 2.78
F (0.0000, 0.5000, 0.0000)  2 Cu 1.97
F (0.5000, 0.0000, 0.0000)  2 Cu 1.97

[4]
Density functional theory data (GGA-PBE) for an optimized crystal structure of CuAgIF2.

Output
The crystal system is tetragonal. The total magnetization is 0.00 μB per cell. The calculated volume is 19.044 Å³/atom. As for the space-group type: P4/mmm (123). For the formation energy (no corrections), the calculation gives -890.9 meV per atom. For the density of states at the Fermi level, the calculation gives 0.345 states/eV per atom.

a = 3.9909 Å, b = 3.9909 Å, c = 5.9786 Å
α = 90.00°, β = 90.00°, γ = 90.00°
Closest atoms and distances in Å follow each position.
Fractional positions:
Cu (0.0000, 0.0000, 0.0000)  4 F 2.00
Ag (0.5000, 0.5000, 0.5000)  4 I 2.82
I (0.0000, 0.0000, 0.5000)  4 Ag 2.82, 2 Cu 2.99
F (0.0000, 0.5000, 0.0000)  2 Cu 2.00
F (0.5000, 0.0000, 0.0000)  2 Cu 2.00

[5]
Density functional theory data (GGA-PBE) for an optimized crystal structure of InCuAgF6.

Output
The crystal system is trigonal. The total magnetization is 2.00 μB per cell. The calculated volume is 15.060 Å³/atom. As for the space-group type: P-31c (163). For the formation energy (no corrections), the calculation gives -1821.5 meV per atom. For the density of states at the Fermi level, the calculation gives 0.647 states/eV per atom.

a = 5.5678 Å, b = 5.5678 Å, c = 10.0971 Å
α = 90.00°, β = 90.00°, γ = 120.00°
Closest atoms and distances in Å follow each position.
Fractional positions:
In (0.3333, 0.6667, 0.2500)  6 F 2.12
In (0.6667, 0.3333, 0.7500)  6 F 2.12
Cu (0.3333, 0.6667, 0.7500)  6 F 2.07
Cu (0.6667, 0.3333, 0.2500)  6 F 2.07
Ag (0.0000, 0.0000, 0.0000)  6 F 2.46
Ag (0.0000, 0.0000, 0.5000)  6 F 2.46
F (0.0064, 0.3653, 0.6404)  1 Cu 2.07, 1 In 2.12
F (0.0064, 0.6411, 0.8596)  1 Cu 2.07, 1 In 2.12
F (0.3589, 0.3653, 0.8596)  1 Cu 2.07, 1 In 2.12
F (0.3589, 0.9936, 0.6404)  1 Cu 2.07, 1 In 2.12
F (0.3653, 0.0064, 0.1404)  1 Cu 2.07, 1 In 2.12
F (0.3653, 0.3589, 0.3596)  1 Cu 2.07, 1 In 2.12
F (0.6347, 0.6411, 0.6404)  1 Cu 2.07, 1 In 2.12
F (0.6347, 0.9936, 0.8596)  1 Cu 2.07, 1 In 2.12
F (0.6411, 0.0064, 0.3596)  1 Cu 2.07, 1 In 2.12
F (0.6411, 0.6347, 0.1404)  1 Cu 2.07, 1 In 2.12
F (0.9936, 0.3589, 0.1404)  1 Cu 2.07, 1 In 2.12
F (0.9936, 0.6347, 0.3596)  1 Cu 2.07, 1 In 2.12

[6]
Density functional theory data (GGA-PBE) for an optimized crystal structure of CuAgIrF6.

Output
The crystal system is tetragonal. The total magnetization is 2.19 μB per cell. The calculated volume is 14.315 Å³/atom. As for the space-group type: P4_2nm (102). For the formation energy (no corrections), the calculation gives -1293.0 meV per atom. For the density of states at the Fermi level, the calculation gives 0.991 states/eV per atom.

a = 5.0095 Å, b = 5.0095 Å, c = 10.2680 Å
α = 90.00°, β = 90.00°, γ = 90.00°
Closest atoms and distances in Å follow each position.
Fractional positions:
Cu (0.0000, 0.0000, 0.0000)  6 F 2.14-2.27
Cu (0.5000, 0.5000, 0.5000)  6 F 2.14-2.27
Ag (0.0000, 0.0000, 0.3255)  6 F 2.32-2.41
Ag (0.5000, 0.5000, 0.8255)  6 F 2.32-2.41
Ir (0.0000, 0.0000, 0.6593)  6 F 2.01-2.03
Ir (0.5000, 0.5000, 0.1593)  6 F 2.01-2.03
F (0.1735, 0.1735, 0.8139)  1 Ir 2.01
F (0.1987, 0.1987, 0.5164)  1 Ir 2.03, 1 Cu 2.14
F (0.2172, 0.2172, 0.1493)  1 Ir 2.01, 1 Cu 2.17
F (0.2828, 0.7172, 0.6493)  1 Ir 2.01, 1 Cu 2.17
F (0.3013, 0.6987, 0.0164)  1 Ir 2.03, 1 Cu 2.14
F (0.3265, 0.6735, 0.3139)  1 Ir 2.01
F (0.6735, 0.3265, 0.3139)  1 Ir 2.01
F (0.6987, 0.3013, 0.0164)  1 Ir 2.03, 1 Cu 2.14
F (0.7172, 0.2828, 0.6493)  1 Ir 2.01, 1 Cu 2.17
F (0.7828, 0.7828, 0.1493)  1 Ir 2.01, 1 Cu 2.17
F (0.8013, 0.8013, 0.5164)  1 Ir 2.03, 1 Cu 2.14
F (0.8265, 0.8265, 0.8139)  1 Ir 2.01

[7]
Density functional theory data (GGA-PBE) for an optimized crystal structure of KCuAgF4.

Output
The crystal system is cubic. The total magnetization is 1.01 μB per cell. The calculated volume is 31.251 Å³/atom. As for the space-group type: F-43m (216). For the formation energy (no corrections), the calculation gives -1468.1 meV per atom. For the density of states at the Fermi level, the calculation gives 0.986 states/eV per atom.

a = 6.7633 Å, b = 6.7633 Å, c = 6.7633 Å
α = 60.00°, β = 60.00°, γ = 60.00°
Closest atoms and distances in Å follow each position.
Fractional positions:
K (0.0000, 0.0000, 0.0000)  12 F 3.99, 4 Ag 4.14
Cu (0.5000, 0.5000, 0.5000)  4 F 1.92
Ag (0.7500, 0.7500, 0.7500)  4 F 2.22
F (0.1526, 0.6158, 0.6158)  1 Cu 1.92
F (0.6158, 0.1526, 0.6158)  1 Cu 1.92
F (0.6158, 0.6158, 0.1526)  1 Cu 1.92
F (0.6158, 0.6158, 0.6158)  1 Cu 1.92

[8]
Density functional theory data (GGA-PBE) for an optimized crystal structure of K2CuAgF6.

Output
The crystal system is cubic. The total magnetization is 0.41 μB per cell. The calculated volume is 15.159 Å³/atom. As for the space-group type: Fm-3m (225). For the formation energy (no corrections), the calculation gives -1999.7 meV per atom. For the density of states at the Fermi level, the calculation gives 0.350 states/eV per atom.

a = 5.9850 Å, b = 5.9850 Å, c = 5.9850 Å
α = 60.00°, β = 60.00°, γ = 60.00°
Closest atoms and distances in Å follow each position.
Fractional positions:
K (0.2500, 0.2500, 0.2500)  12 F 3.00
K (0.7500, 0.7500, 0.7500)  12 F 3.00
Cu (0.0000, 0.0000, 0.0000)  6 F 1.99
Ag (0.5000, 0.5000, 0.5000)  6 F 2.25
F (0.2346, 0.2346, 0.7654)  1 Cu 1.99
F (0.2346, 0.7654, 0.2346)  1 Cu 1.99
F (0.2346, 0.7654, 0.7654)  1 Cu 1.99
F (0.7654, 0.2346, 0.2346)  1 Cu 1.99
F (0.7654, 0.2346, 0.7654)  1 Cu 1.99
F (0.7654, 0.7654, 0.2346)  1 Cu 1.99

[9]
Density functional theory data (GGA-PBE) for an optimized crystal structure of K3CuAg2F9.

Output
The crystal system is trigonal. The total magnetization is 0.40 μB per cell. The calculated volume is 15.741 Å³/atom. As for the space-group type: P-3m1 (164). For the formation energy (no corrections), the calculation gives -1953.3 meV per atom. For the density of states at the Fermi level, the calculation gives 0.252 states/eV per atom.

a = 6.0532 Å, b = 6.0532 Å, c = 7.4409 Å
α = 90.00°, β = 90.00°, γ = 120.00°
Closest atoms and distances in Å follow each position.
Fractional positions:
K (0.0000, 0.0000, 0.0000)  12 F 3.03-3.06
K (0.3333, 0.6667, 0.6731)  12 F 2.99-3.06
K (0.6667, 0.3333, 0.3269)  12 F 2.99-3.06
Cu (0.0000, 0.0000, 0.5000)  6 F 1.99
Ag (0.3333, 0.6667, 0.1803)  6 F 2.20-2.24
Ag (0.6667, 0.3333, 0.8197)  6 F 2.20-2.24
F (0.0000, 0.5000, 0.0000)  2 Ag 2.20
F (0.1556, 0.3113, 0.3476)  1 Cu 1.99
F (0.1556, 0.8444, 0.3476)  1 Cu 1.99
F (0.3113, 0.1556, 0.6524)  1 Cu 1.99
F (0.5000, 0.0000, 0.0000)  2 Ag 2.20
F (0.5000, 0.5000, 0.0000)  2 Ag 2.20
F (0.6887, 0.8444, 0.3476)  1 Cu 1.99
F (0.8444, 0.1556, 0.6524)  1 Cu 1.99
F (0.8444, 0.6887, 0.6524)  1 Cu 1.99

[10]
Density functional theory data (GGA-PBE) for an optimized crystal structure of K2CuAg2F6.

Output
The crystal system is trigonal. The total magnetization is 1.00 μB per cell. The calculated volume is 18.713 Å³/atom. As for the space-group type: R-3m (166). For the formation energy (no corrections), the calculation gives -1692.3 meV per atom. For the density of states at the Fermi level, the calculation gives 0.405 states/eV per atom.

a = 6.6646 Å, b = 6.6646 Å, c = 6.6646 Å
α = 59.27°, β = 59.27°, γ = 59.27°
Closest atoms and distances in Å follow each position.
Fractional positions:
K (0.2075, 0.2075, 0.2075)  3 F 2.65
K (0.7925, 0.7925, 0.7925)  3 F 2.65
Cu (0.0000, 0.0000, 0.0000)  6 F 2.05
Ag (0.4140, 0.4140, 0.4140)  3 F 2.21
Ag (0.5860, 0.5860, 0.5860)  3 F 2.21
F (0.2007, 0.7816, 0.7816)  1 Cu 2.05, 1 Ag 2.21
F (0.2184, 0.2184, 0.7993)  1 Cu 2.05, 1 Ag 2.21
F (0.2184, 0.7993, 0.2184)  1 Cu 2.05, 1 Ag 2.21
F (0.7816, 0.2007, 0.7816)  1 Cu 2.05, 1 Ag 2.21
F (0.7816, 0.7816, 0.2007)  1 Cu 2.05, 1 Ag 2.21
F (0.7993, 0.2184, 0.2184)  1 Cu 2.05, 1 Ag 2.21